VASP calculation (GGA-PBE) on CsRb2MgHg after structural relaxation.

Calculated values
The formation energy comes out at 14 meV/atom. The calculation puts the density of states at the Fermi level at 3.2 states/eV/f.u. As for the excess energy over the best structure of this formula in the dataset: 0 meV per atom. The volume comes out at 294.4 Å³ per cell.

Cell: 7.255 7.255 5.593 Å, 90.00 90.00 90.00°
Space group P4/mmm (No. 123)
One atom of each set of equivalent atoms:
Cs  0.000  0.000  0.000
Rb  0.000  0.500  0.500
Mg  0.500  0.500  0.000
Hg  0.500  0.500  0.500